Record 1
Here is crystalline Ca2BTe at its relaxed geometry from the Alexandria database. Energies are from PBE-GGA.

## Properties
- distance to the lowest polymorph of the same formula (eV/atom) = 0.000
- mass density (Mg/m³) = 3.42
- ΔE_f (raw) (eV per atom) = -0.051
- total magnetic moment (μB per formula unit) = 0.996

Cell lengths 7.802, 7.802, 6.973 Å; angles 90.00, 90.00, 90.00 degrees
Fractional positions:
Ca  0.199  0.250  0.125
Ca  0.250  0.699  0.375
Ca  0.250  0.801  0.875
Ca  0.301  0.250  0.625
Ca  0.699  0.750  0.625
Ca  0.750  0.199  0.875
Ca  0.750  0.301  0.375
Ca  0.801  0.750  0.125
B  0.000  0.000  0.000
B  0.000  0.500  0.250
B  0.500  0.000  0.750
B  0.500  0.500  0.500
Te  0.000  0.000  0.500
Te  0.000  0.500  0.750
Te  0.500  0.000  0.250
Te  0.500  0.500  0.000

Record 2
Here is crystalline CaTl2Pd at its relaxed geometry from the Alexandria database. Energies are from PBE-GGA.

## Properties
- mass density (Mg/m³) = 9.28
- DFT formation energy (eV/atom) = -0.398
- total magnetic moment (μB per formula unit) = 0.000

Cell lengths 16.027, 8.496, 5.837 Å; angles 90.00, 90.00, 90.00 degrees
Fractional positions:
Ca  0.105  0.250  0.246
Ca  0.141  0.750  0.023
Ca  0.359  0.250  0.523
Ca  0.395  0.750  0.746
Ca  0.605  0.250  0.254
Ca  0.641  0.750  0.477
Ca  0.859  0.250  0.977
Ca  0.895  0.750  0.754
Tl  0.035  0.049  0.754
Tl  0.035  0.451  0.754
Tl  0.214  0.547  0.509
Tl  0.214  0.953  0.509
Tl  0.286  0.047  0.009
Tl  0.286  0.453  0.009
Tl  0.465  0.549  0.254
Tl  0.465  0.951  0.254
Tl  0.535  0.049  0.746
Tl  0.535  0.451  0.746
Tl  0.714  0.547  0.991
Tl  0.714  0.953  0.991
Tl  0.786  0.047  0.491
Tl  0.786  0.453  0.491
Tl  0.965  0.549  0.246
Tl  0.965  0.951  0.246
Pd  0.071  0.750  0.522
Pd  0.180  0.250  0.743
Pd  0.320  0.750  0.243
Pd  0.429  0.250  0.022
Pd  0.571  0.750  0.978
Pd  0.680  0.250  0.757
Pd  0.820  0.750  0.257
Pd  0.929  0.250  0.478

Q: What is the total magnetic moment in the second record?
A: 0.000 μB per formula unit

Q: mass density of number 2 (CaTl2Pd)?
A: 9.28 Mg/m³

Please write out number 1 again, unchanged.
Here is crystalline Ca2BTe at its relaxed geometry from the Alexandria database. Energies are from PBE-GGA.

## Properties
- distance to the lowest polymorph of the same formula (eV/atom) = 0.000
- mass density (Mg/m³) = 3.42
- ΔE_f (raw) (eV per atom) = -0.051
- total magnetic moment (μB per formula unit) = 0.996

Cell lengths 7.802, 7.802, 6.973 Å; angles 90.00, 90.00, 90.00 degrees
Fractional positions:
Ca  0.199  0.250  0.125
Ca  0.250  0.699  0.375
Ca  0.250  0.801  0.875
Ca  0.301  0.250  0.625
Ca  0.699  0.750  0.625
Ca  0.750  0.199  0.875
Ca  0.750  0.301  0.375
Ca  0.801  0.750  0.125
B  0.000  0.000  0.000
B  0.000  0.500  0.250
B  0.500  0.000  0.750
B  0.500  0.500  0.500
Te  0.000  0.000  0.500
Te  0.000  0.500  0.750
Te  0.500  0.000  0.250
Te  0.500  0.500  0.000

Q: Among the records above, which one has the highest mass density?
A: CaTl2Pd